Entry 1:
The following is a meta-GGA SCAN calculation of a PBEsol-optimized structure of MgAsRh2, from Alexandria.

a b c (Å): 3.9492 4.1937 6.8783
angles (deg): 90.00 90.00 90.00
Closest atoms and distances in Å follow each position.
Space group Immm (No. 71)
Inequivalent atoms, fractional coordinates:
Mg1 0.0000 0.0000 0.0000 [2 per cell]  8 Rh 2.64-2.69, 4 As 2.88
As1 0.0000 0.0000 0.5000 [2 per cell]  8 Rh 2.55-2.78
Rh1 0.0000 0.5000 0.2336 [4 per cell]  4 As 2.55-2.78, 4 Mg 2.64-2.69

E_form, eV per atom: -0.547
Density of states at the Fermi level, states/eV/f.u.: 1.11



Entry 2:
The following is a meta-GGA SCAN calculation of a PBEsol-optimized structure of MgAs3Ru, from Alexandria.

a b c (Å): 4.7189 4.7189 4.7189
angles (deg): 90.00 90.00 90.00
Closest atoms and distances in Å follow each position.
Space group Pm-3m (No. 221)
Inequivalent atoms, fractional coordinates:
Mg1 0.0000 0.0000 0.0000 [1 per cell]  6 As 2.36
As1 0.0000 0.0000 0.5000 [3 per cell]  2 Mg 2.36
Ru1 0.5000 0.5000 0.5000 [1 per cell]  12 As 3.34

E_form, eV per atom: 1.303
Density of states at the Fermi level, states/eV/f.u.: 3.63



Entry 3:
The following is a meta-GGA SCAN calculation of a PBEsol-optimized structure of MgSi2AsRu, from Alexandria.

a b c (Å): 4.4765 4.4765 5.0299
angles (deg): 90.00 90.00 90.00
Closest atoms and distances in Å follow each position.
Space group P4/mmm (No. 123)
Inequivalent atoms, fractional coordinates:
Mg1 0.0000 0.0000 0.0000 [1 per cell]  2 Ru 2.51
Si1 0.0000 0.5000 0.5000 [2 per cell]  2 Ru 2.24
As1 0.5000 0.5000 0.0000 [1 per cell]  4 Mg 3.17, 8 Si 3.37
Ru1 0.0000 0.0000 0.5000 [1 per cell]  4 Si 2.24

Formation energy without anion corrections, eV/atom: 0.300
Density of states at the Fermi level, states/eV/f.u.: 3.89



Entry 4:
The following is a meta-GGA SCAN calculation of a PBEsol-optimized structure of MgSb2As, from Alexandria.

a b c (Å): 6.2518 9.6945 3.2096
angles (deg): 90.00 108.96 90.00
Closest atoms and distances in Å follow each position.
Space group C2/m (No. 12)
Inequivalent atoms, fractional coordinates:
Mg1 0.0000 0.0000 0.0000 [2 per cell]  4 Sb 3.04, 2 As 3.13, 2 Mg 3.21
Sb1 0.2500 0.2500 0.5000 [4 per cell]  2 As 3.04, 2 Mg 3.04, 4 Sb 3.13-3.21
As1 0.0000 0.5000 0.0000 [2 per cell]  4 Sb 3.04, 2 Mg 3.13, 2 As 3.21

Excess energy over the best structure of this formula in the dataset, eV/f.u.: 0.63
Formation energy without anion corrections, eV/atom: 0.155
Density of states at the Fermi level, states/eV/f.u.: 2.02